A plane-wave DFT calculation with PBE-GGA was carried out for an optimized crystal structure of TlAsPb2.

Values from the calculation:
For the total moment, the calculation gives 0.0 μB per formula unit. As for the volume: 241 Å³/cell. As for the space-group type: Cmm2. The value obtained for the formation energy is 0.072 eV per atom.

Structure (CIF):
```
data_TlAsPb2
_space_group_name_H-M_alt 'P 1'
_space_group_IT_number 1
_space_group_name_Hall 'P 1'
_cell_length_a 5.743
_cell_length_b 5.825
_cell_length_c 7.192
_cell_angle_alpha 90.00
_cell_angle_beta 90.00
_cell_angle_gamma 90.00
loop_
_atom_site_label
_atom_site_fract_x
_atom_site_fract_y
_atom_site_fract_z
Tl1 0.000 0.000 0.000
Tl2 0.500 0.500 0.000
As1 0.000 0.500 0.696
As2 0.500 0.000 0.696
Pb1 0.000 0.000 0.546
Pb2 0.000 0.500 0.282
Pb3 0.500 0.000 0.282
Pb4 0.500 0.500 0.546
```